(1)
First-principles (meta-GGA SCAN) data for a PBEsol-optimized structure of Pt5Au, as listed in the Alexandria database.

Values from the calculation:
E_form in eV per formula unit: 2.06
Distance to the lowest polymorph of the same formula in meV per atom: 210
Calculated total energy in eV/f.u.: -418.06

Cell and atoms, written as CIF:
```
data_Pt5Au
_symmetry_space_group_name_H-M 'F -4 3 m'
_symmetry_Int_Tables_number 216
_symmetry_space_group_name_Hall 'F -4 2 3'
_cell_length_a 7.3141
_cell_length_b 7.3141
_cell_length_c 7.3141
_cell_angle_alpha 90.00
_cell_angle_beta 90.00
_cell_angle_gamma 90.00
loop_
_atom_site_label
_atom_site_fract_x
_atom_site_fract_y
_atom_site_fract_z
_atom_site_occupancy
Pt1 0.0000 0.0000 0.0000 1
Pt2 0.1251 0.1251 0.3749 1
Au1 0.2500 0.2500 0.7500 1
```


(2)
First-principles (meta-GGA SCAN) data for a PBEsol-optimized structure of PtAu7, as listed in the Alexandria database.

Values from the calculation:
E_form in eV per formula unit: 0.14
Calculated total energy in eV/f.u.: -554.15

Cell and atoms, written as CIF:
```
data_PtAu7
_symmetry_space_group_name_H-M 'F m -3 m'
_symmetry_Int_Tables_number 225
_symmetry_space_group_name_Hall '-F 4 2 3'
_cell_length_a 8.1070
_cell_length_b 8.1070
_cell_length_c 8.1070
_cell_angle_alpha 90.00
_cell_angle_beta 90.00
_cell_angle_gamma 90.00
loop_
_atom_site_label
_atom_site_fract_x
_atom_site_fract_y
_atom_site_fract_z
_atom_site_occupancy
Pt1 0.0000 0.0000 0.0000 1
Au1 0.0000 0.0000 0.5000 1
Au2 0.0000 0.2500 0.2500 1
```


(3)
First-principles (meta-GGA SCAN) data for a PBEsol-optimized structure of PtAu5, as listed in the Alexandria database.

Values from the calculation:
E_form in eV per formula unit: 0.28
Distance to the lowest polymorph of the same formula in meV per atom: 3
Calculated total energy in eV/f.u.: -415.69

Cell and atoms, written as CIF:
```
data_PtAu5
_symmetry_space_group_name_H-M 'A m m 2'
_symmetry_Int_Tables_number 38
_symmetry_space_group_name_Hall 'A 2 -2'
_cell_length_a 4.7579
_cell_length_b 2.8557
_cell_length_c 14.6681
_cell_angle_alpha 90.00
_cell_angle_beta 90.00
_cell_angle_gamma 90.00
loop_
_atom_site_label
_atom_site_fract_x
_atom_site_fract_y
_atom_site_fract_z
_atom_site_occupancy
Pt1 0.0000 0.0000 0.0000 1
Au1 0.0000 0.0000 0.3356 1
Au2 0.0000 0.0000 0.6658 1
Au3 0.5000 0.0000 0.1123 1
Au4 0.5000 0.0000 0.4480 1
Au5 0.5000 0.0000 0.7794 1
```


(4)
First-principles (meta-GGA SCAN) data for a PBEsol-optimized structure of PtAu5, as listed in the Alexandria database.

Values from the calculation:
E_form in eV per formula unit: 2.16
Distance to the lowest polymorph of the same formula in meV per atom: 315
Calculated total energy in eV/f.u.: -413.82

Cell and atoms, written as CIF:
```
data_PtAu5
_symmetry_space_group_name_H-M 'F -4 3 m'
_symmetry_Int_Tables_number 216
_symmetry_space_group_name_Hall 'F -4 2 3'
_cell_length_a 7.5222
_cell_length_b 7.5222
_cell_length_c 7.5222
_cell_angle_alpha 90.00
_cell_angle_beta 90.00
_cell_angle_gamma 90.00
loop_
_atom_site_label
_atom_site_fract_x
_atom_site_fract_y
_atom_site_fract_z
_atom_site_occupancy
Pt1 0.0000 0.0000 0.0000 1
Au1 0.1250 0.1250 0.3750 1
Au2 0.2500 0.2500 0.7500 1
```


(5)
First-principles (meta-GGA SCAN) data for a PBEsol-optimized structure of Pt2Au3, as listed in the Alexandria database.

Values from the calculation:
E_form in eV per formula unit: 0.24
Calculated total energy in eV/f.u.: -347.62

Cell and atoms, written as CIF:
```
data_Pt2Au3
_symmetry_space_group_name_H-M 'R -3 m'
_symmetry_Int_Tables_number 166
_symmetry_space_group_name_Hall '-R 3 2"'
_cell_length_a 2.8145
_cell_length_b 2.8145
_cell_length_c 35.1534
_cell_angle_alpha 90.00
_cell_angle_beta 90.00
_cell_angle_gamma 120.00
loop_
_atom_site_label
_atom_site_fract_x
_atom_site_fract_y
_atom_site_fract_z
_atom_site_occupancy
Pt1 0.0000 0.0000 0.1005 1
Au1 0.0000 0.0000 0.2993 1
Au2 0.0000 0.0000 0.5000 1
```


(6)
First-principles (meta-GGA SCAN) data for a PBEsol-optimized structure of Pt4Au, as listed in the Alexandria database.

Values from the calculation:
E_form in eV per formula unit: 0.46
Calculated total energy in eV/f.u.: -349.47

Cell and atoms, written as CIF:
```
data_Pt4Au
_symmetry_space_group_name_H-M 'I 4/m'
_symmetry_Int_Tables_number 87
_symmetry_space_group_name_Hall '-I 4'
_cell_length_a 6.2556
_cell_length_b 6.2556
_cell_length_c 3.9237
_cell_angle_alpha 90.00
_cell_angle_beta 90.00
_cell_angle_gamma 90.00
loop_
_atom_site_label
_atom_site_fract_x
_atom_site_fract_y
_atom_site_fract_z
_atom_site_occupancy
Pt1 0.1016 0.3031 0.0000 1
Au1 0.0000 0.0000 0.5000 1
```


(7)
First-principles (meta-GGA SCAN) data for a PBEsol-optimized structure of Pt5Au, as listed in the Alexandria database.

Values from the calculation:
E_form in eV per formula unit: 0.83
Distance to the lowest polymorph of the same formula in meV per atom: 4
Calculated total energy in eV/f.u.: -419.29

Cell and atoms, written as CIF:
```
data_Pt5Au
_symmetry_space_group_name_H-M 'A m m 2'
_symmetry_Int_Tables_number 38
_symmetry_space_group_name_Hall 'A 2 -2'
_cell_length_a 4.7025
_cell_length_b 2.7355
_cell_length_c 14.3387
_cell_angle_alpha 90.00
_cell_angle_beta 90.00
_cell_angle_gamma 90.00
loop_
_atom_site_label
_atom_site_fract_x
_atom_site_fract_y
_atom_site_fract_z
_atom_site_occupancy
Pt1 0.0000 0.0000 0.0000 1
Pt2 0.0000 0.0000 0.3306 1
Pt3 0.0000 0.0000 0.6647 1
Pt4 0.5000 0.0000 0.1096 1
Pt5 0.5000 0.0000 0.7729 1
Au1 0.5000 0.0000 0.4410 1
```


(8)
First-principles (meta-GGA SCAN) data for a PBEsol-optimized structure of PtAu5, as listed in the Alexandria database.

Values from the calculation:
E_form in eV per formula unit: 0.27
Distance to the lowest polymorph of the same formula in meV per atom: 0
Calculated total energy in eV/f.u.: -415.71

Cell and atoms, written as CIF:
```
data_PtAu5
_symmetry_space_group_name_H-M 'C 1 m 1'
_symmetry_Int_Tables_number 8
_symmetry_space_group_name_Hall 'C -2y'
_cell_length_a 10.6840
_cell_length_b 2.8527
_cell_length_c 6.8401
_cell_angle_alpha 90.00
_cell_angle_beta 107.14
_cell_angle_gamma 90.00
loop_
_atom_site_label
_atom_site_fract_x
_atom_site_fract_y
_atom_site_fract_z
_atom_site_occupancy
Pt1 0.0000 0.0000 0.0000 1
Au1 0.1100 0.5000 0.7284 1
Au2 0.1650 0.5000 0.3303 1
Au3 0.2809 0.0000 0.0571 1
Au4 0.3328 0.0000 0.6684 1
Au5 0.4452 0.5000 0.3900 1
```


(9)
First-principles (meta-GGA SCAN) data for a PBEsol-optimized structure of Pt5Au, as listed in the Alexandria database.

Values from the calculation:
E_form in eV per formula unit: 0.81
Distance to the lowest polymorph of the same formula in meV per atom: 0
Calculated total energy in eV/f.u.: -419.32

Cell and atoms, written as CIF:
```
data_Pt5Au
_symmetry_space_group_name_H-M 'C 1 m 1'
_symmetry_Int_Tables_number 8
_symmetry_space_group_name_Hall 'C -2y'
_cell_length_a 10.5372
_cell_length_b 2.7371
_cell_length_c 6.7196
_cell_angle_alpha 90.00
_cell_angle_beta 107.82
_cell_angle_gamma 90.00
loop_
_atom_site_label
_atom_site_fract_x
_atom_site_fract_y
_atom_site_fract_z
_atom_site_occupancy
Pt1 0.0000 0.0000 0.0000 1
Pt2 0.0601 0.0000 0.6162 1
Pt3 0.1634 0.5000 0.3288 1
Pt4 0.2230 0.5000 0.9530 1
Pt5 0.3912 0.0000 0.2800 1
Au1 0.3329 0.0000 0.6642 1
```


(10)
First-principles (meta-GGA SCAN) data for a PBEsol-optimized structure of RbTcPt2Au, as listed in the Alexandria database.

Values from the calculation:
E_form in eV per formula unit: 5.71
Calculated total energy in eV/f.u.: -259.63

Cell and atoms, written as CIF:
```
data_RbTcPt2Au
_symmetry_space_group_name_H-M 'P 4/m m m'
_symmetry_Int_Tables_number 123
_symmetry_space_group_name_Hall '-P 4 2'
_cell_length_a 5.0664
_cell_length_b 5.0664
_cell_length_c 4.9305
_cell_angle_alpha 90.00
_cell_angle_beta 90.00
_cell_angle_gamma 90.00
loop_
_atom_site_label
_atom_site_fract_x
_atom_site_fract_y
_atom_site_fract_z
_atom_site_occupancy
Rb1 0.0000 0.0000 0.0000 1
Tc1 0.5000 0.5000 0.0000 1
Pt1 0.0000 0.5000 0.5000 1
Au1 0.5000 0.5000 0.5000 1
```


(11)
First-principles (meta-GGA SCAN) data for a PBEsol-optimized structure of RbTlPt2Au, as listed in the Alexandria database.

Values from the calculation:
E_form in eV per formula unit: 5.04
Calculated total energy in eV/f.u.: -297.60

Cell and atoms, written as CIF:
```
data_RbTlPt2Au
_symmetry_space_group_name_H-M 'P 4/m m m'
_symmetry_Int_Tables_number 123
_symmetry_space_group_name_Hall '-P 4 2'
_cell_length_a 5.0270
_cell_length_b 5.0270
_cell_length_c 6.0650
_cell_angle_alpha 90.00
_cell_angle_beta 90.00
_cell_angle_gamma 90.00
loop_
_atom_site_label
_atom_site_fract_x
_atom_site_fract_y
_atom_site_fract_z
_atom_site_occupancy
Rb1 0.0000 0.0000 0.0000 1
Tl1 0.0000 0.0000 0.5000 1
Pt1 0.0000 0.5000 0.5000 1
Au1 0.5000 0.5000 0.0000 1
```


(12)
First-principles (meta-GGA SCAN) data for a PBEsol-optimized structure of RePt4Au, as listed in the Alexandria database.

Values from the calculation:
E_form in eV per formula unit: 3.09
Calculated total energy in eV/f.u.: -417.94

Cell and atoms, written as CIF:
```
data_RePt4Au
_symmetry_space_group_name_H-M 'F -4 3 m'
_symmetry_Int_Tables_number 216
_symmetry_space_group_name_Hall 'F -4 2 3'
_cell_length_a 7.2926
_cell_length_b 7.2926
_cell_length_c 7.2926
_cell_angle_alpha 90.00
_cell_angle_beta 90.00
_cell_angle_gamma 90.00
loop_
_atom_site_label
_atom_site_fract_x
_atom_site_fract_y
_atom_site_fract_z
_atom_site_occupancy
Re1 0.0000 0.0000 0.0000 1
Pt1 0.1252 0.1252 0.3748 1
Au1 0.2500 0.2500 0.7500 1
```